# 1
The following is a DFT calculation (PBE) of a relaxed structure of Na2PaPbBr8.

Lattice parameters (Å, degrees): 6.8981 8.9691 7.1826 90.00 93.90 90.00
Last column: nearest neighbours and their distance in Å.
Element x y z (fractional)
Na  0.0000  0.2392  0.0000  4 Br 2.87-3.10
Na  0.0000  0.7608  0.0000  4 Br 2.87-3.10
Pa  0.5000  0.5000  0.5000  6 Br 2.81-2.83
Pb  0.5000  0.0000  0.5000  6 Br 2.95-3.13
Br  0.2278  0.0000  0.1657  2 Na 2.87, 1 Pb 2.95
Br  0.2370  0.5000  0.1831  1 Pa 2.81, 2 Na 3.10
Br  0.2809  0.2728  0.6594  1 Pa 2.83, 1 Pb 3.13
Br  0.2809  0.7272  0.6594  1 Pa 2.83, 1 Pb 3.13
Br  0.7191  0.2728  0.3406  1 Pa 2.83, 1 Pb 3.13
Br  0.7191  0.7272  0.3406  1 Pa 2.83, 1 Pb 3.13
Br  0.7630  0.5000  0.8169  1 Pa 2.81, 2 Na 3.10
Br  0.7722  0.0000  0.8343  2 Na 2.87, 1 Pb 2.95

Calculated values
Its total energy is -3.77 eV/atom. The value obtained for the total magnetic moment is 1.01 μB per cell. Its space group is P2/m (10). The raw formation energy is -1.34 eV per atom.

# 2
The following is a DFT calculation (PBE) of a relaxed structure of RbNaPaBr6.

Lattice parameters (Å, degrees): 7.6133 7.6133 15.1060 90.00 90.00 120.00
Last column: nearest neighbours and their distance in Å.
Element x y z (fractional)
Rb  0.0000  0.0000  0.0000  6 Br 3.52
Rb  0.0000  0.0000  0.5000  6 Br 3.52
Na  0.3333  0.6667  0.2500  6 Br 3.02
Na  0.6667  0.3333  0.7500  6 Br 3.02
Pa  0.3333  0.6667  0.7500  6 Br 2.82
Pa  0.6667  0.3333  0.2500  6 Br 2.82
Br  0.0201  0.3767  0.6420  1 Pa 2.82, 1 Na 3.02
Br  0.0201  0.6434  0.8580  1 Pa 2.82, 1 Na 3.02
Br  0.3566  0.3767  0.8580  1 Pa 2.82, 1 Na 3.02
Br  0.3566  0.9799  0.6420  1 Pa 2.82, 1 Na 3.02
Br  0.3767  0.0201  0.1420  1 Pa 2.82, 1 Na 3.02
Br  0.3767  0.3566  0.3580  1 Pa 2.82, 1 Na 3.02
Br  0.6233  0.6434  0.6420  1 Pa 2.82, 1 Na 3.02
Br  0.6233  0.9799  0.8580  1 Pa 2.82, 1 Na 3.02
Br  0.6434  0.0201  0.3580  1 Pa 2.82, 1 Na 3.02
Br  0.6434  0.6233  0.1420  1 Pa 2.82, 1 Na 3.02
Br  0.9799  0.3566  0.1420  1 Pa 2.82, 1 Na 3.02
Br  0.9799  0.6233  0.3580  1 Pa 2.82, 1 Na 3.02

Calculated values
Its total energy is -4.02 eV/atom. The value obtained for the total magnetic moment is 2.01 μB per cell. Its space group is P-31c (163). The raw formation energy is -1.59 eV per atom.